1.
A plane-wave DFT calculation with GGA-PBE was carried out for AlGa6Ag12 after structural relaxation.

Lattice parameters (Å, degrees): 12.5701 12.5701 7.2993 90.00 90.00 120.00
Space group R-3 (No. 148, hexagonal axes)
Asymmetric unit:
Al1 0.0000 0.0000 0.0000
Ga1 0.0305 0.7507 0.3412
Ag1 0.0128 0.8742 0.6686
Ag2 0.0715 0.5080 0.6661

Output
Crystal system = trigonal
E_tot = -2.956 eV/atom
Formation energy from the elements = 0.00 eV/atom
Distance to the lowest polymorph of the same formula = 0 meV/atom



2.
A plane-wave DFT calculation with GGA-PBE was carried out for AlGa3Ag3 after structural relaxation.

Lattice parameters (Å, degrees): 7.2209 7.2209 7.2209 90.00 90.00 90.00
Space group Pm-3n (No. 223)
Asymmetric unit:
Al1 0.0000 0.0000 0.0000
Ga1 0.0000 0.2500 0.5000
Ag1 0.0000 0.5000 0.2500

Output
Crystal system = cubic
E_tot = -2.510 eV/atom
Formation energy from the elements = 0.54 eV/atom
Distance to the lowest polymorph of the same formula = 481 meV/atom